{
  "formula": "Sm3Ho2Tm2",
  "functional": "GGA-PBE",
  "state": "relaxed",
  "cell": [[-1.832, 2.885, 0.732], [-3.644, -3.976, 6.553], [8.332, 2.930, 0.963]],
  "species": ["Sm", "Sm", "Sm", "Ho", "Ho", "Tm", "Tm"],
  "fractional_positions": [[0.000, 0.500, 0.000], [0.213, 0.799, 0.425], [0.787, 0.201, 0.575], [0.565, 0.910, 0.130], [0.435, 0.090, 0.870], [0.855, 0.676, 0.710], [0.145, 0.324, 0.290]],
  "delta_e_f_ev_per_atom": 0.116,
  "e_above_lowest_polymorph_ev_per_fu": 0.680
}


{
  "formula": "La4Ta6O19",
  "functional": "GGA-PBE",
  "state": "relaxed",
  "cell": [[-6.646, 4.338, -0.145], [-1.224, -6.845, -3.828], [2.015, -1.502, 7.529]],
  "species": ["La", "La", "La", "La", "Ta", "Ta", "Ta", "Ta", "Ta", "Ta", "O", "O", "O", "O", "O", "O", "O", "O", "O", "O", "O", "O", "O", "O", "O", "O", "O", "O", "O"],
  "fractional_positions": [[0.000, 0.000, 0.690], [0.000, 0.690, 0.000], [0.310, 0.310, 0.310], [0.690, 0.000, 0.000], [0.346, 0.500, 0.846], [0.654, 0.500, 0.154], [0.154, 0.654, 0.500], [0.846, 0.346, 0.500], [0.500, 0.846, 0.346], [0.500, 0.154, 0.654], [0.666, 0.000, 0.666], [0.334, 0.000, 0.334], [0.334, 0.334, 0.000], [0.666, 0.666, 0.000], [0.000, 0.666, 0.666], [0.000, 0.334, 0.334], [0.000, 0.000, 0.000], [0.283, 0.249, 0.610], [0.717, 0.327, 0.965], [0.638, 0.673, 0.390], [0.965, 0.717, 0.327], [0.362, 0.751, 0.035], [0.610, 0.283, 0.249], [0.035, 0.362, 0.751], [0.390, 0.638, 0.673], [0.751, 0.035, 0.362], [0.327, 0.965, 0.717], [0.249, 0.610, 0.283], [0.673, 0.390, 0.638]],
  "raw_formation_energy_ev_per_atom": -2.9957
}


{
  "formula": "KAl2Br7",
  "functional": "GGA-PBE",
  "state": "relaxed",
  "cell": [[11.749, 0.000, 0.000], [0.000, 11.086, -0.321], [0.000, 7.984, 11.807]],
  "species": ["K", "K", "K", "K", "Al", "Al", "Al", "Al", "Al", "Al", "Al", "Al", "Br", "Br", "Br", "Br", "Br", "Br", "Br", "Br", "Br", "Br", "Br", "Br", "Br", "Br", "Br", "Br", "Br", "Br", "Br", "Br", "Br", "Br", "Br", "Br", "Br", "Br", "Br", "Br"],
  "fractional_positions": [[0.365, 0.905, 0.379], [0.865, 0.095, 0.121], [0.635, 0.095, 0.621], [0.135, 0.905, 0.879], [0.276, 0.611, 0.800], [0.776, 0.389, 0.700], [0.724, 0.389, 0.200], [0.224, 0.611, 0.300], [0.238, 0.184, 0.546], [0.738, 0.816, 0.954], [0.762, 0.816, 0.454], [0.262, 0.184, 0.046], [0.383, 0.388, 0.919], [0.883, 0.612, 0.581], [0.617, 0.612, 0.081], [0.117, 0.388, 0.419], [0.110, 0.173, 0.947], [0.610, 0.827, 0.553], [0.890, 0.827, 0.053], [0.390, 0.173, 0.447], [0.203, 0.207, 0.189], [0.703, 0.793, 0.311], [0.797, 0.793, 0.811], [0.297, 0.207, 0.689], [0.391, 0.001, 0.105], [0.891, 0.999, 0.395], [0.609, 0.999, 0.895], [0.109, 0.001, 0.605], [0.236, 0.631, 0.131], [0.736, 0.369, 0.369], [0.764, 0.369, 0.869], [0.264, 0.631, 0.631], [0.112, 0.779, 0.304], [0.612, 0.221, 0.196], [0.888, 0.221, 0.696], [0.388, 0.779, 0.804], [0.399, 0.590, 0.379], [0.899, 0.410, 0.121], [0.601, 0.410, 0.621], [0.101, 0.590, 0.879]],
  "raw_formation_energy_ev_per_atom": -1.2733
}


{
  "formula": "TbNd3Dy2Tm6",
  "functional": "GGA-PBE",
  "state": "relaxed",
  "cell": [[6.160, 0.001, -0.001], [-3.078, 5.336, -0.001], [-1.021, -1.768, 11.507]],
  "species": ["Tb", "Nd", "Nd", "Nd", "Dy", "Dy", "Tm", "Tm", "Tm", "Tm", "Tm", "Tm"],
  "fractional_positions": [[0.000, 0.000, 0.000], [0.167, 0.833, 0.500], [0.833, 0.167, 0.500], [0.500, 0.500, 0.500], [0.333, 0.667, 0.000], [0.667, 0.333, 0.000], [0.917, 0.584, 0.753], [0.749, 0.749, 0.247], [0.083, 0.416, 0.247], [0.584, 0.917, 0.753], [0.251, 0.251, 0.753], [0.416, 0.083, 0.247]],
  "delta_e_f_ev_per_atom": 0.022
}